DFT (GGA-PBE) results for a relaxed structure of Dy2PuAu4.

Cell lengths 5.1587, 5.1587, 6.5318 Å; angles 90.00, 90.00, 90.00 degrees
With the nearest neighbours (Å) after each atom.
Atoms (fractional coordinates):
Pu1 0.5000 0.5000 0.0000  8 Au 3.08, 2 Dy 3.27
Au1 0.5000 0.0000 0.2588  4 Dy 3.02-3.08, 2 Pu 3.08, 2 Au 3.15-3.38
Au2 0.0000 0.5000 0.7412  4 Dy 3.02-3.08, 2 Pu 3.08, 2 Au 3.15-3.38
Au3 0.0000 0.5000 0.2588  4 Dy 3.02-3.08, 2 Pu 3.08, 2 Au 3.15-3.38
Au4 0.5000 0.0000 0.7412  4 Dy 3.02-3.08, 2 Pu 3.08, 2 Au 3.15-3.38
Dy1 0.5000 0.5000 0.5000  8 Au 3.02, 2 Pu 3.27
Dy2 0.0000 0.0000 0.0000  8 Au 3.08

Calculated values
DFT formation energy: -530 meV/atom
Crystal system: tetragonal